1.
BiPSO2 meta-GGA SCAN single point on PBEsol structure; crystal system = tetragonal; raw formation energy = 35.9 kJ per mole of atoms; ρ = 5.3 Mg/m³; DFT total energy = -109.21 eV for the cell shown; size of the total moment = 0.001 Bohr magnetons per cell
1.0
3.986 0.000 0.000
0.000 3.986 0.000
0.000 0.000 5.946
Bi P S O
1 1 1 2
direct
0.000 0.000 0.000 Bi
0.000 0.000 0.500 P
0.500 0.500 0.500 S
0.000 0.500 0.000 O
0.500 0.000 0.000 O



2.
Hf2SiPdI meta-GGA SCAN single point on PBEsol structure; crystal system = tetragonal; raw formation energy = 124.0 kJ per mole of atoms; ρ = 8.2 Mg/m³; DFT total energy = -198.45 eV for the cell shown; size of the total moment = 0.000 Bohr magnetons per cell
1.0
5.152 0.000 0.000
0.000 5.152 0.000
0.000 0.000 4.705
Hf Si Pd I
2 1 1 1
direct
0.000 0.500 0.000 Hf
0.500 0.000 0.000 Hf
0.000 0.000 0.500 Si
0.500 0.500 0.500 Pd
0.500 0.500 0.000 I



3.
InIr2Rh meta-GGA SCAN single point on PBEsol structure; crystal system = orthorhombic; ρ = 16.6 Mg/m³; E_form = 0.047 eV per atom; DFT total energy = -209.17 eV for the cell shown; size of the total moment = 0.000 Bohr magnetons per cell
1.0
2.799 -3.833 0.000
2.799 3.833 0.000
0.000 0.000 2.806
In Ir Rh
1 2 1
direct
0.000 0.000 0.000 In
0.000 0.500 0.500 Ir
0.500 0.000 0.500 Ir
0.500 0.500 0.000 Rh



4.
TlHgPb2 meta-GGA SCAN single point on PBEsol structure; crystal system = orthorhombic; ρ = 12.3 Mg/m³; E_form = 0.018 eV per atom; DFT total energy = -292.02 eV for the cell shown; size of the total moment = 0.000 Bohr magnetons per cell
1.0
-1.819 2.806 5.420
1.819 -2.806 5.420
1.819 2.806 -5.420
Tl Hg Pb
1 1 2
direct
0.000 0.000 0.000 Tl
0.500 0.500 0.000 Hg
0.263 0.763 0.500 Pb
0.737 0.237 0.500 Pb



5.
CaSc2Cl meta-GGA SCAN single point on PBEsol structure; crystal system = tetragonal; raw formation energy = -58.5 kJ per mole of atoms; offset from the most stable computed form = 0 meV/atom; ρ = 2.9 Mg/m³; DFT total energy = -48.54 eV for the cell shown; size of the total moment = 0.837 Bohr magnetons per cell
1.0
3.286 0.000 0.000
0.000 3.286 0.000
0.000 0.000 8.854
Ca Sc Cl
1 2 1
direct
0.000 0.000 0.000 Ca
0.000 0.000 0.459 Sc
0.500 0.500 0.698 Sc
0.500 0.500 0.227 Cl



6.
K2SnHOF6 meta-GGA SCAN single point on PBEsol structure; crystal system = orthorhombic; ρ = 2.9 Mg/m³; DFT total energy = -441.88 eV for the cell shown; size of the total moment = 0.129 Bohr magnetons per cell
1.0
0.000 8.734 6.127
6.923 0.000 6.127
6.923 8.734 0.000
K Sn H O F
8 4 4 4 24
direct
0.000 0.000 0.000 K
0.099 0.844 0.651 K
0.250 0.250 0.250 K
0.432 0.432 0.568 K
0.599 0.844 0.151 K
0.682 0.682 0.818 K
0.844 0.099 0.406 K
0.844 0.599 0.406 K
0.192 0.760 0.312 Sn
0.514 0.938 0.490 Sn
0.760 0.192 0.736 Sn
0.938 0.514 0.058 Sn
0.076 0.311 0.849 H
0.311 0.076 0.764 H
0.401 0.486 0.174 H
0.486 0.401 0.939 H
0.166 0.271 0.752 O
0.271 0.166 0.811 O
0.439 0.498 0.979 O
0.498 0.439 0.084 O
0.015 0.370 0.204 F
0.046 0.839 0.235 F
0.156 0.539 0.846 F
0.166 0.989 0.302 F
0.209 0.532 0.322 F
0.314 0.928 0.718 F
0.320 0.690 0.408 F
0.370 0.015 0.411 F
0.404 0.792 0.094 F
0.510 0.709 0.521 F
0.532 0.209 0.936 F
0.539 0.156 0.458 F
0.668 0.842 0.560 F
0.690 0.320 0.582 F
0.707 0.948 0.261 F
0.709 0.510 0.259 F
0.729 0.991 0.740 F
0.792 0.404 0.711 F
0.839 0.046 0.880 F
0.842 0.668 0.930 F
0.928 0.314 0.041 F
0.948 0.707 0.084 F
0.989 0.166 0.543 F
0.991 0.729 0.541 F



7.
Sr5Bi3 meta-GGA SCAN single point on PBEsol structure; crystal system = orthorhombic; offset from the most stable computed form = 7 meV/atom; ρ = 5.9 Mg/m³; E_form = -0.982 eV per atom; DFT total energy = -1419.89 eV for the cell shown; size of the total moment = 4.000 Bohr magnetons per cell
1.0
13.413 0.000 0.000
0.000 10.173 0.000
0.000 0.000 8.814
Sr Bi
20 12
direct
0.004 0.250 0.035 Sr
0.079 0.041 0.690 Sr
0.079 0.459 0.690 Sr
0.205 0.750 0.345 Sr
0.227 0.250 0.319 Sr
0.273 0.750 0.819 Sr
0.295 0.250 0.845 Sr
0.421 0.541 0.190 Sr
0.421 0.959 0.190 Sr
0.496 0.750 0.535 Sr
0.504 0.250 0.465 Sr
0.579 0.041 0.810 Sr
0.579 0.459 0.810 Sr
0.705 0.750 0.155 Sr
0.727 0.250 0.181 Sr
0.773 0.750 0.681 Sr
0.795 0.250 0.655 Sr
0.921 0.541 0.310 Sr
0.921 0.959 0.310 Sr
0.996 0.750 0.965 Sr
0.015 0.750 0.577 Bi
0.171 0.510 0.061 Bi
0.171 0.990 0.061 Bi
0.329 0.010 0.561 Bi
0.329 0.490 0.561 Bi
0.485 0.250 0.077 Bi
0.515 0.750 0.923 Bi
0.671 0.510 0.439 Bi
0.671 0.990 0.439 Bi
0.829 0.010 0.939 Bi
0.829 0.490 0.939 Bi
0.985 0.250 0.423 Bi



8.
KMg2Bi2 meta-GGA SCAN single point on PBEsol structure; crystal system = tetragonal; ρ = 5.3 Mg/m³; E_form = -0.391 eV per atom; DFT total energy = -177.39 eV for the cell shown; size of the total moment = 0.071 Bohr magnetons per cell
1.0
-2.409 2.409 6.840
2.409 -2.409 6.840
2.409 2.409 -6.840
K Mg Bi
1 2 2
direct
0.000 0.000 0.000 K
0.250 0.750 0.500 Mg
0.750 0.250 0.500 Mg
0.377 0.377 0.000 Bi
0.623 0.623 0.000 Bi